No. 1
Density functional theory data (PBEsol) for a relaxed Ga2Se2O7 crystal.

Lattice parameters (Å, degrees): 6.5948 12.6463 13.3860 90.00 90.00 90.00
Fractional positions:
Ga (0.0274, 0.1219, 0.0266)
Ga (0.0274, 0.3781, 0.5266)
Ga (0.2500, 0.2500, 0.2055)
Ga (0.2500, 0.2500, 0.7055)
Ga (0.2500, 0.7500, 0.3334)
Ga (0.2500, 0.7500, 0.8334)
Ga (0.4726, 0.1219, 0.5266)
Ga (0.4726, 0.3781, 0.0266)
Ga (0.5274, 0.6219, 0.9734)
Ga (0.5274, 0.8781, 0.4734)
Ga (0.7500, 0.2500, 0.1666)
Ga (0.7500, 0.2500, 0.6666)
Ga (0.7500, 0.7500, 0.2945)
Ga (0.7500, 0.7500, 0.7945)
Ga (0.9726, 0.6219, 0.4734)
Ga (0.9726, 0.8781, 0.9734)
Se (0.0077, 0.5500, 0.7193)
Se (0.0077, 0.9500, 0.2193)
Se (0.0209, 0.6334, 0.0371)
Se (0.0209, 0.8666, 0.5371)
Se (0.4791, 0.6334, 0.5371)
Se (0.4791, 0.8666, 0.0371)
Se (0.4923, 0.5500, 0.2193)
Se (0.4923, 0.9500, 0.7193)
Se (0.5077, 0.0500, 0.2807)
Se (0.5077, 0.4500, 0.7807)
Se (0.5209, 0.1334, 0.9629)
Se (0.5209, 0.3666, 0.4629)
Se (0.9791, 0.1334, 0.4629)
Se (0.9791, 0.3666, 0.9629)
Se (0.9923, 0.0500, 0.7807)
Se (0.9923, 0.4500, 0.2807)
O (0.0138, 0.5240, 0.5894)
O (0.0138, 0.9760, 0.0894)
O (0.0157, 0.2372, 0.9339)
O (0.0157, 0.2628, 0.4339)
O (0.0175, 0.2040, 0.1467)
O (0.0175, 0.2960, 0.6467)
O (0.1763, 0.1053, 0.5440)
O (0.1763, 0.3947, 0.0440)
O (0.2010, 0.6381, 0.7312)
O (0.2010, 0.8619, 0.2312)
O (0.2094, 0.1261, 0.7803)
O (0.2094, 0.3739, 0.2803)
O (0.2149, 0.6349, 0.9470)
O (0.2149, 0.8651, 0.4470)
O (0.2851, 0.6349, 0.4470)
O (0.2851, 0.8651, 0.9470)
O (0.2906, 0.1261, 0.2803)
O (0.2906, 0.3739, 0.7803)
O (0.2990, 0.6381, 0.2312)
O (0.2990, 0.8619, 0.7312)
O (0.3237, 0.1053, 0.0440)
O (0.3237, 0.3947, 0.5440)
O (0.4825, 0.2040, 0.6467)
O (0.4825, 0.2960, 0.1467)
O (0.4843, 0.2372, 0.4339)
O (0.4843, 0.2628, 0.9339)
O (0.4862, 0.5240, 0.0894)
O (0.4862, 0.9760, 0.5894)
O (0.5138, 0.0240, 0.4106)
O (0.5138, 0.4760, 0.9106)
O (0.5157, 0.7372, 0.0661)
O (0.5157, 0.7628, 0.5661)
O (0.5175, 0.7040, 0.8533)
O (0.5175, 0.7960, 0.3533)
O (0.6763, 0.6053, 0.4560)
O (0.6763, 0.8947, 0.9560)
O (0.7010, 0.1381, 0.2688)
O (0.7010, 0.3619, 0.7688)
O (0.7094, 0.6261, 0.2197)
O (0.7094, 0.8739, 0.7197)
O (0.7149, 0.1349, 0.0530)
O (0.7149, 0.3651, 0.5530)
O (0.7851, 0.1349, 0.5530)
O (0.7851, 0.3651, 0.0530)
O (0.7906, 0.6261, 0.7197)
O (0.7906, 0.8739, 0.2197)
O (0.7990, 0.1381, 0.7688)
O (0.7990, 0.3619, 0.2688)
O (0.8237, 0.6053, 0.9560)
O (0.8237, 0.8947, 0.4560)
O (0.9825, 0.7040, 0.3533)
O (0.9825, 0.7960, 0.8533)
O (0.9843, 0.7372, 0.5661)
O (0.9843, 0.7628, 0.0661)
O (0.9862, 0.0240, 0.9106)
O (0.9862, 0.4760, 0.4106)

Results
Uncorrected formation energy (eV per atom): -1.276

---

No. 2
Density functional theory data (PBEsol) for a relaxed YGa2SeO crystal.

Lattice parameters (Å, degrees): 5.7302 5.7302 5.1677 90.00 90.00 90.00
Fractional positions:
Y (0.0000, 0.0000, 0.0000)
Ga (0.0000, 0.5000, 0.0000)
Ga (0.5000, 0.0000, 0.0000)
Se (0.0000, 0.0000, 0.5000)
O (0.5000, 0.5000, 0.5000)

Results
Uncorrected formation energy (eV per atom): 0.660

---

No. 3
Density functional theory data (PBEsol) for a relaxed GaSiO2 crystal.

Lattice parameters (Å, degrees): 9.7283 9.7283 9.7283 15.87 15.87 15.87
Fractional positions:
Ga (0.0000, 0.0000, 0.0000)
Si (0.5000, 0.5000, 0.5000)
O (0.1350, 0.1350, 0.1350)
O (0.8650, 0.8650, 0.8650)

Results
Uncorrected formation energy (eV per atom): -1.802

---

No. 4
Density functional theory data (PBEsol) for a relaxed Ga4SiO8 crystal.

Lattice parameters (Å, degrees): 6.3342 6.3342 9.3186 124.91 124.91 26.95
Fractional positions:
Ga (0.0382, 0.0382, 0.2216)
Ga (0.2564, 0.2564, 0.8562)
Ga (0.7436, 0.7436, 0.1438)
Ga (0.9618, 0.9618, 0.7784)
Si (0.5000, 0.5000, 0.5000)
O (0.0549, 0.0549, 0.4317)
O (0.1461, 0.1461, 0.9638)
O (0.3473, 0.3473, 0.2934)
O (0.3848, 0.3848, 0.7969)
O (0.6152, 0.6152, 0.2031)
O (0.6527, 0.6527, 0.7066)
O (0.8539, 0.8539, 0.0362)
O (0.9451, 0.9451, 0.5683)

Results
Uncorrected formation energy (eV per atom): -2.072